PBE CaY2Cu2, relaxed; ΔE_f = 0.19 eV/atom; energy relative to the lowest polymorph listed for this composition = 316 meV per atom
1.0
4.3855 0.0000 0.0000
0.0000 4.3855 0.0000
2.1927 2.1927 7.0996
Y Cu Ca
2 2 1
Cartesian
2.1927 2.1927 1.8287
4.3855 4.3855 5.2709
2.1927 4.3855 3.5498
4.3855 2.1927 3.5498
0.0000 0.0000 0.0000